An optimized crystal structure of GaTc2GeBr, computed with PBE-GGA.

a b c (Å): 4.865 4.769 4.865
angles (deg): 90.00 90.00 90.00
Site moments in Bohr magnetons follow the coordinates.
Positions (direct):
Tc 0.500 0.000 0.000  2.20
Ga 0.000 0.000 0.000  -0.07
Ge 0.000 0.500 0.000  -0.12
Tc 0.000 0.000 0.500  2.31
Br 0.500 0.500 0.500  0.07

Results
**Uncorrected formation energy**: 6.8 eV/f.u.
**E_tot**: -4.640 eV per atom
**Crystal system**: tetragonal
**Space-group type**: P4/mmm, No. 123

An optimized crystal structure of SrTiTlPd2, computed with PBE-GGA.

a b c (Å): 5.211 5.077 5.211
angles (deg): 90.00 90.00 90.00
Site moments in Bohr magnetons follow the coordinates.
Positions (direct):
Pd 0.000 0.000 0.500  -0.01
Pd 0.500 0.000 0.000  0.01
Tl 0.000 0.000 0.000  -0.01
Ti 0.000 0.500 0.000  -0.07
Sr 0.500 0.500 0.500  0.00

Results
**ΔE_f**: 0.4872 eV/atom
**E_tot**: -3.979 eV per atom
**Crystal system**: tetragonal
**Space-group type**: P4/mmm, No. 123

An optimized crystal structure of NiHgW2, computed with PBE-GGA.

a b c (Å): 2.765 2.765 8.800
angles (deg): 90.00 90.00 106.48
Positions (direct):
W 0.000 0.000 0.982
Ni 0.500 0.500 0.768
W 0.500 0.500 0.232
Hg 0.000 0.000 0.518

Results
**ΔE_f**: 0.3286 eV/atom
**E_tot**: -7.669 eV per atom
**Crystal system**: orthorhombic
**Space-group type**: Cmm2, No. 35

An optimized crystal structure of Dy3In2Ga, computed with PBE-GGA.

a b c (Å): 3.632 3.632 11.511
angles (deg): 90.00 90.00 90.00
Positions (direct):
Dy 0.000 0.000 0.000
Ga 0.500 0.500 0.500
In 0.500 0.500 0.828
In 0.500 0.500 0.172
Dy 0.000 0.000 0.654
Dy 0.000 0.000 0.346

Results
**ΔE_f**: -0.4998 eV/atom
**E_tot**: -4.218 eV per atom
**Crystal system**: tetragonal
**Space-group type**: P4/mmm, No. 123

An optimized crystal structure of TeRuBr2, computed with PBE-GGA.

a b c (Å): 3.678 3.676 7.811
angles (deg): 90.00 90.00 90.00
Positions (direct):
Te 0.500 0.500 0.687
Br 0.500 0.500 0.326
Br 0.000 0.000 0.914
Ru 0.000 0.000 0.572

Results
**Uncorrected formation energy**: 1.0 eV/f.u.
**E_tot**: -3.687 eV per atom
**Crystal system**: tetragonal
**Space-group type**: P4mm, No. 99

An optimized crystal structure of PmCu5S4, computed with PBE-GGA.

a b c (Å): 3.875 7.011 7.446
angles (deg): 118.09 105.08 90.00
Positions (direct):
Cu 0.820 0.017 0.639
S 0.000 0.284 0.000
Cu 0.820 0.622 0.639
S 0.271 0.771 0.543
S 0.000 0.716 0.000
Pm 0.500 0.000 0.000
Cu 0.180 0.983 0.361
Cu 0.180 0.378 0.361
S 0.729 0.229 0.457
Cu 0.500 0.500 0.000

Results
**Uncorrected formation energy**: -5.4 eV/f.u.
**E_tot**: -4.717 eV per atom
**Crystal system**: orthorhombic
**Space-group type**: Immm, No. 71

An optimized crystal structure of Pm5PaGe6, computed with PBE-GGA.

a b c (Å): 7.315 7.351 7.377
angles (deg): 60.12 80.29 70.22
Positions (direct):
Pm 0.500 0.829 0.341
Pm 0.500 0.500 0.000
Ge 0.245 0.240 0.000
Ge 0.242 0.920 0.677
Pm 0.500 0.171 0.659
Ge 0.758 0.403 0.677
Ge 0.242 0.597 0.323
Ge 0.755 0.760 0.000
Pm 0.000 0.334 0.333
Pa 0.000 0.000 0.000
Pm 0.000 0.666 0.667
Ge 0.758 0.080 0.323

Results
**ΔE_f**: -0.6519 eV/atom
**E_tot**: -5.731 eV per atom
**Crystal system**: monoclinic
**Space-group type**: C2/m, No. 12

An optimized crystal structure of Tb3CdGa2, computed with PBE-GGA.

a b c (Å): 3.616 3.616 11.084
angles (deg): 90.00 90.00 90.00
Positions (direct):
Ga 0.500 0.500 0.164
Tb 0.000 0.000 0.320
Cd 0.500 0.500 0.500
Tb 0.000 0.000 0.000
Tb 0.000 0.000 0.680
Ga 0.500 0.500 0.836

Results
**ΔE_f**: -0.4964 eV/atom
**E_tot**: -3.973 eV per atom
**Crystal system**: tetragonal
**Space-group type**: P4/mmm, No. 123

Here are the calculated total moment numbers, same order: 0.980; 0.019; 0.000; 0.000; 0.000; 0.000; 0.000; 0.000 (μB/atom).